Entry 1:
This record from Alexandria via LeMat-Bulk describes a relaxed La3TbTh2N6 crystal. The functional is PBE.

Formation energy (no corrections)   -146 kJ per mole of atoms
Theoretical density   8.846 g cm⁻³
Space group   C2/m

abc: 6.353 6.353 6.394
angles: 99.51 99.51 119.99
Sites, in units of the cell vectors:
N (0.589, 0.924, 0.771)
N (0.924, 0.589, 0.771)
La (0.500, 0.500, 0.500)
N (0.258, 0.258, 0.770)
La (0.165, 0.835, 0.500)
N (0.742, 0.742, 0.230)
N (0.076, 0.411, 0.229)
N (0.411, 0.076, 0.229)
La (0.835, 0.165, 0.500)
Th (0.667, 0.333, 0.000)
Tb (0.000, 0.000, 0.000)
Th (0.333, 0.667, 0.000)

Entry 2:
This record from Alexandria via LeMat-Bulk describes a relaxed LaTb2TlN crystal. The functional is PBE.

Formation energy (no corrections)   -84 kJ per mole of atoms
Theoretical density   9.202 g cm⁻³
Space group   P4/mmm

abc: 5.072 4.901 4.901
angles: 90.00 90.00 90.00
Sites, in units of the cell vectors:
Tl (0.500, 0.500, 0.500)
La (0.500, 0.000, 0.000)
Tb (0.000, 0.500, 0.000)
N (0.000, 0.000, 0.000)
Tb (0.000, 0.000, 0.500)

Entry 3:
This record from Alexandria via LeMat-Bulk describes a relaxed La4TbU3N8 crystal. The functional is PBE.

Formation energy (no corrections)   -138 kJ per mole of atoms
Theoretical density   9.922 g cm⁻³
Space group   R-3m

abc: 7.083 7.207 7.084
angles: 119.44 120.00 90.00
Site moments in Bohr magnetons follow the coordinates.
Sites, in units of the cell vectors:
La (0.000, 0.000, 0.000)  0.00
U (0.000, 0.500, 0.500)  0.46
N (0.757, 0.301, 0.043)  -0.02
N (0.243, 0.699, 0.957)  -0.02
Tb (0.000, 0.500, 0.000)  0.00
N (0.732, 0.697, 0.465)  -0.02
La (0.500, 0.000, 0.000)  0.01
La (0.000, 0.000, 0.500)  0.00
N (0.268, 0.303, 0.535)  -0.02
N (0.286, 0.301, 0.043)  -0.02
N (0.714, 0.699, 0.957)  -0.02
La (0.500, 0.000, 0.500)  0.00
N (0.757, 0.301, 0.515)  -0.02
N (0.243, 0.699, 0.485)  -0.02
U (0.500, 0.500, 0.500)  0.46
U (0.500, 0.500, 0.000)  0.46

Entry 4:
This record from Alexandria via LeMat-Bulk describes a relaxed LaTbUN3 crystal. The functional is PBE.

Formation energy (no corrections)   -129 kJ per mole of atoms
Theoretical density   9.988 g cm⁻³
Space group   P2_1/m

abc: 3.528 6.055 9.204
angles: 102.22 90.00 90.00
Site moments in Bohr magnetons follow the coordinates.
Sites, in units of the cell vectors:
Tb (0.750, 0.861, 0.359)  0.07
U (0.750, 0.236, 0.958)  1.24
Tb (0.250, 0.139, 0.641)  0.07
N (0.750, 0.245, 0.496)  0.01
U (0.250, 0.764, 0.042)  1.24
N (0.250, 0.453, 0.864)  -0.06
N (0.750, 0.547, 0.136)  -0.06
N (0.750, 0.035, 0.133)  -0.06
La (0.250, 0.351, 0.313)  0.01
N (0.250, 0.755, 0.503)  0.01
N (0.250, 0.965, 0.867)  -0.06
La (0.750, 0.649, 0.687)  0.01

Entry 5:
This record from Alexandria via LeMat-Bulk describes a relaxed La2TbUN4 crystal. The functional is PBE.

Formation energy (no corrections)   -142 kJ per mole of atoms
Theoretical density   9.345 g cm⁻³
Space group   P2/m

abc: 3.573 6.088 6.306
angles: 108.78 90.00 90.00
Sites, in units of the cell vectors:
N (0.500, 0.783, 0.797)
N (0.000, 0.765, 0.208)
U (0.000, 0.000, 0.000)
N (0.500, 0.217, 0.203)
N (0.000, 0.235, 0.792)
Tb (0.500, 0.500, 0.000)
La (0.500, 0.000, 0.500)
La (0.000, 0.500, 0.500)

Entry 6:
This record from Alexandria via LeMat-Bulk describes a relaxed LaTb2VN4 crystal. The functional is PBE.

Formation energy (no corrections)   -132 kJ per mole of atoms
Theoretical density   7.763 g cm⁻³
Space group   Cmcm

abc: 3.425 6.191 11.834
angles: 90.00 90.00 106.06
Sites, in units of the cell vectors:
N (0.000, 0.000, 0.000)
N (0.000, 0.000, 0.500)
Tb (0.630, 0.259, 0.458)
V (0.824, 0.647, 0.750)
N (0.737, 0.473, 0.875)
La (0.083, 0.165, 0.750)
N (0.418, 0.836, 0.750)
N (0.263, 0.527, 0.375)
Tb (0.630, 0.259, 0.042)
Tb (0.370, 0.741, 0.542)
V (0.176, 0.353, 0.250)
Tb (0.370, 0.741, 0.958)
La (0.917, 0.835, 0.250)
N (0.582, 0.164, 0.250)
N (0.263, 0.527, 0.125)
N (0.737, 0.473, 0.625)